# 1
PBE BeV2Ru3, optimized geometry; calculated formation energy = -0.3729 eV/atom; symmetry = P4/mmm, No. 123
1.0
2.970 0.000 0.000
0.000 2.970 0.000
0.000 0.000 8.684
Be V Ru
1 2 3
Cartesian
1.485 1.485 4.342 Be
1.485 1.485 7.100 V
1.485 1.485 1.583 V
0.000 0.000 0.000 Ru
0.000 0.000 5.710 Ru
0.000 0.000 2.974 Ru



# 2
PBE Er4ThTl, optimized geometry; calculated formation energy = -0.0943 eV/atom; symmetry = P4/mmm, No. 123
1.0
-3.209 1.488 0.524
-0.984 -0.961 -3.301
-4.835 -12.183 4.989
Er Th Tl
4 1 1
Cartesian
-2.926 -1.827 -0.532 Er
-3.137 -7.904 3.237 Er
-1.698 -4.279 1.752 Er
-6.102 -9.829 2.745 Er
0.000 0.000 0.000 Th
-4.514 -5.828 1.106 Tl



# 3
PBE HoScCuHg, optimized geometry; calculated formation energy = -0.3127 eV/atom; symmetry = F-43m, No. 216
1.0
4.960 0.000 0.000
2.480 4.296 0.000
2.480 1.432 4.050
Sc Hg Cu Ho
1 1 1 1
Cartesian
0.000 0.000 0.000 Sc
7.440 4.296 3.037 Hg
2.480 1.432 1.012 Cu
4.960 2.864 2.025 Ho



# 4
PBE TbY3Tm12, optimized geometry; calculated formation energy = 0.0277 eV/atom; symmetry = P4/mmm, No. 123
1.0
-0.545 4.657 -1.619
-0.141 -1.642 -4.678
-19.721 -1.874 1.252
Tb Y Tm
1 3 12
Cartesian
0.000 0.000 0.000 Tb
-4.926 -0.468 0.313 Y
-9.861 -0.937 0.626 Y
-14.796 -1.406 0.939 Y
-0.343 1.507 -3.148 Tm
-5.270 1.039 -2.836 Tm
-10.204 0.570 -2.522 Tm
-15.137 0.101 -2.209 Tm
-2.728 2.095 -0.653 Tm
-7.665 1.626 -0.340 Tm
-12.602 1.157 -0.027 Tm
-17.538 0.687 0.286 Tm
-2.526 -1.055 -2.183 Tm
-7.462 -1.524 -1.870 Tm
-12.399 -1.993 -1.557 Tm
-17.336 -2.462 -1.243 Tm



# 5
PBE Tb2CoCu, optimized geometry; calculated formation energy = -0.2250 eV/atom; symmetry = P2_1/m, No. 11
1.0
4.199 0.000 0.000
0.000 5.525 0.033
0.000 -2.714 7.121
Tb Co Cu
4 2 2
Cartesian
3.149 0.096 3.031 Tb
1.050 2.715 4.123 Tb
1.050 4.166 0.482 Tb
3.149 -1.355 6.671 Tb
1.050 1.406 1.560 Co
3.149 1.406 5.594 Co
3.149 2.781 2.047 Cu
1.050 0.031 5.106 Cu



# 6
PBE La12Pr2Ho5, optimized geometry; calculated formation energy = 0.1016 eV/atom; symmetry = C2/m, No. 12
1.0
-5.438 -6.186 -8.554
5.420 -2.529 6.625
-4.997 -4.751 6.612
La Pr Ho
12 2 5
Cartesian
0.176 -1.507 0.978 La
-1.177 -5.602 8.772 La
-3.798 -8.584 4.649 La
1.396 -4.897 6.598 La
-1.206 -7.856 2.505 La
-1.502 -8.546 7.135 La
-3.513 -4.919 -2.452 La
-6.410 -8.569 -1.915 La
-3.808 -5.609 2.178 La
-3.837 -7.863 -4.089 La
-1.216 -4.882 0.034 La
-5.190 -11.958 3.705 La
-3.880 -4.414 -6.104 Pr
-1.558 -1.772 -2.451 Pr
-2.036 -5.460 5.243 Ho
0.470 -4.526 2.974 Ho
-2.498 -2.375 3.306 Ho
-5.484 -8.939 1.708 Ho
-2.979 -8.005 -0.560 Ho



# 7
PBE NbFeAsSe2, optimized geometry; formation energy from raw total energies = 581 meV/atom; symmetry = P4/mmm, No. 123
1.0
-0.048 -2.786 3.716
4.501 0.887 0.724
-1.098 3.464 2.583
Nb As Se Fe
1 1 2 1
Cartesian
1.678 0.782 3.511 Nb
-0.549 1.732 1.291 As
2.251 0.444 0.362 Se
-0.024 -1.393 1.858 Se
0.000 0.000 0.000 Fe



# 8
PBE PrMnFe4, optimized geometry; calculated formation energy = 0.1761 eV/atom; symmetry = F-43m, No. 216
1.0
-2.177 -4.325 -1.484
2.713 -4.273 -0.167
-0.868 -3.683 3.366
Pr Mn Fe
1 1 4
Cartesian
0.000 0.000 0.000 Pr
-0.083 -3.070 0.429 Mn
0.222 -5.837 -0.596 Fe
-1.550 -5.545 1.152 Fe
-0.207 -7.660 1.070 Fe
0.870 -5.520 1.804 Fe



# 9
PBE RbBa2Si, optimized geometry; formation energy from raw total energies = -92 meV/atom; symmetry = R3m, No. 160
1.0
-3.635 -0.434 -3.540
-4.722 -1.343 1.351
-5.406 10.020 0.661
Rb Ba Si
1 2 1
Cartesian
-6.866 4.060 -0.772 Rb
-5.047 8.566 0.470 Ba
-3.152 0.893 -0.535 Ba
-5.579 -1.154 -1.455 Si



# 10
PBE Sr3Zn3Cu8, optimized geometry; calculated formation energy = -0.1015 eV/atom; symmetry = Immm, No. 71
1.0
-1.881 -3.494 -1.528
-4.430 -3.007 6.415
-7.901 2.301 -1.449
Sr Zn Cu
3 3 8
Cartesian
-7.106 -2.100 1.719 Sr
-3.990 -2.931 -0.217 Sr
-10.222 -1.269 3.656 Sr
-0.941 -1.747 -0.764 Zn
-5.227 -1.788 4.610 Zn
-7.104 1.082 0.357 Zn
-6.979 -0.894 -1.195 Cu
-7.234 -3.306 4.634 Cu
-5.014 -3.898 3.255 Cu
-9.198 -0.302 0.184 Cu
-9.382 -4.389 3.839 Cu
-4.830 0.189 -0.401 Cu
-10.805 -2.213 0.616 Cu
-3.407 -1.987 2.823 Cu



# 11
PBE In2SiRh, optimized geometry; formation energy from raw total energies = 85 meV/atom; symmetry = Pmmm, No. 47
1.0
-2.227 -2.919 -0.269
0.632 -0.162 -3.472
5.008 -3.588 -2.516
In Rh Si
2 1 1
Cartesian
0.648 -0.175 -3.468 In
2.803 -1.862 -2.998 In
0.296 -2.397 -1.632 Rh
3.116 -4.272 -4.626 Si



# 12
PBE AlGaBi, optimized geometry; calculated formation energy = 0.0989 eV/atom; symmetry = P2_1/m, No. 11
1.0
5.327 0.000 -0.168
0.000 4.342 0.000
-1.821 0.000 6.294
Bi Ga Al
2 2 2
Cartesian
4.066 1.085 -0.017 Bi
-0.560 3.256 6.142 Bi
2.500 1.085 3.337 Ga
1.006 3.256 2.789 Ga
-0.195 1.085 4.012 Al
3.701 3.256 2.114 Al



no.,calculated total energy (eV/atom)
1,-8.6714
2,-4.7672
3,-4.1395
4,-4.8274
5,-5.3406
6,-4.7183
7,-5.4495
8,-7.7906
9,-2.6509
10,-3.0755
11,-4.4777
12,-3.4512